## TlZnSb (PBE-GGA)

Data for a geometry-optimized TlZnSb structure.

```
TlZnSb
1.0
-3.0355 5.4748 3.8731
-5.6028 3.8199 2.3827
-0.1799 -1.0881 3.2147
Sb Tl Zn
1 1 1
Cartesian
-0.3734 -0.8506 3.2843
-2.8578 2.1991 4.1775
-5.7668 5.7698 5.2234
```

## Properties
Its energy relative to the elements, uncorrected is 0.1416 eV per atom. As for the crystal system: orthorhombic. The space-group type is No. 42. The total energy comes out at -7.3 eV per cell.

## ZrTlSb (PBE-GGA)

Data for a geometry-optimized ZrTlSb structure.

```
ZrTlSb
1.0
-0.4145 2.9701 1.5982
-1.1636 -2.8648 1.4095
6.6901 -0.9735 3.5441
Sb Tl Zr
1 1 1
Cartesian
6.5455 -0.9524 3.4675
1.4103 -1.2580 2.7037
3.8463 0.3689 3.9247
```

## Properties
Its energy relative to the elements, uncorrected is -0.0400 eV per atom. As for the crystal system: trigonal. The space-group type is No. 156. The total energy comes out at -15.2 eV per cell.

## Zr2TlSb (PBE-GGA)

Data for a geometry-optimized Zr2TlSb structure.

```
Zr2TlSb
1.0
10.4630 -0.0231 -0.0136
9.9273 3.3052 -0.0136
9.9273 1.5979 2.8933
Sb Tl Zr
1 1 2
Cartesian
15.3524 2.4712 1.4514
22.6271 3.6421 2.1391
7.6078 1.2246 0.7192
30.2069 4.8622 2.8557
```

## Properties
Its energy relative to the elements, uncorrected is -0.0444 eV per atom. As for the crystal system: trigonal. The space-group type is No. 160. The total energy comes out at -23.8 eV per cell.

## ZrTl2Sb (PBE-GGA)

Data for a geometry-optimized ZrTl2Sb structure.

```
ZrTl2Sb
1.0
-2.3870 -2.1223 -2.2239
2.9639 -2.3359 -0.9520
-1.4678 -4.0990 5.4873
Zr Tl Sb
1 2 1
Cartesian
-0.7906 -2.2077 2.9554
-0.0034 -0.0094 0.0126
-0.0909 -3.2885 -0.1697
-0.7400 -5.1011 2.2568
```

## Properties
Its energy relative to the elements, uncorrected is -0.1267 eV per atom. As for the crystal system: tetragonal. The space-group type is No. 99. The total energy comes out at -17.9 eV per cell.

## ZrTl2Sb (PBE-GGA)

Data for a geometry-optimized ZrTl2Sb structure.

```
ZrTl2Sb
1.0
0.0000 3.7680 3.7680
3.7680 0.0000 3.7680
3.7680 3.7680 0.0000
Tl Zr Sb
2 1 1
Cartesian
1.8840 1.8840 1.8840
5.6520 5.6520 5.6520
0.0000 0.0000 0.0000
3.7680 3.7680 3.7680
```

## Properties
Its energy relative to the elements, uncorrected is 0.3693 eV per atom. As for the crystal system: cubic. The space-group type is No. 225. The total energy comes out at -15.9 eV per cell.

## Zr2TlSb (PBE-GGA)

Data for a geometry-optimized Zr2TlSb structure.

```
Zr2TlSb
1.0
-1.7570 -5.0608 -2.9577
5.1755 0.1104 -3.2634
5.0169 -6.6075 1.9952
Zr Tl Sb
4 2 2
Cartesian
4.2786 -2.1886 -1.8948
6.7813 -9.2867 -3.9644
0.7937 -4.8280 -1.7734
5.0171 -6.8126 -0.8192
2.4846 -7.0718 -2.0365
0.0000 0.0000 0.0000
5.9508 -4.4861 -2.1894
1.7092 -2.4752 -3.1106
```

## Properties
Its energy relative to the elements, uncorrected is 0.6016 eV per atom. As for the crystal system: tetragonal. The space-group type is No. 122. The total energy comes out at -42.4 eV per cell.

## ZrTl2Sb (PBE-GGA)

Data for a geometry-optimized ZrTl2Sb structure.

```
ZrTl2Sb
1.0
5.4983 0.0000 0.0000
0.0000 5.4983 0.0000
0.0000 0.0000 3.4034
Tl Zr Sb
2 1 1
Cartesian
0.0000 0.0000 0.0000
2.7492 2.7492 0.0000
2.7492 0.0000 1.7017
0.0000 2.7492 1.7017
```

## Properties
Its energy relative to the elements, uncorrected is 0.1353 eV per atom. As for the crystal system: tetragonal. The space-group type is No. 123. The total energy comes out at -16.9 eV per cell.

## ZrTl2Sb (PBE-GGA)

Data for a geometry-optimized ZrTl2Sb structure.

```
ZrTl2Sb
1.0
-2.2773 -4.6175 2.7173
1.2299 -4.9739 -2.7637
2.9399 4.5214 2.1921
Sb Tl Zr
1 2 1
Cartesian
1.8134 -2.7123 -0.2979
0.0762 -2.3838 2.4434
-1.0454 -9.5732 -0.0463
-0.5228 -4.7877 -0.0232
```

## Properties
Its energy relative to the elements, uncorrected is 0.0098 eV per atom. As for the crystal system: orthorhombic. The space-group type is No. 44. The total energy comes out at -17.4 eV per cell.

## Zr6TlSb3 (PBE-GGA)

Data for a geometry-optimized Zr6TlSb3 structure.

```
Zr6TlSb3
1.0
7.3446 0.0000 0.0000
0.0000 8.5085 -0.7438
0.0000 -2.6237 8.1280
Sb Zr Tl
6 12 2
Cartesian
2.1713 2.1121 4.3538
7.1040 -0.0471 2.3321
5.8436 3.7727 3.0304
3.4317 2.2838 0.4745
3.4317 5.9319 5.0521
7.1040 3.6010 6.9097
4.0411 0.2946 5.8022
5.8875 3.7787 -0.0850
5.8875 6.8109 3.7198
5.7260 -2.1497 7.7502
0.8746 2.5025 1.7251
2.2152 -0.9261 3.6644
2.2152 2.1061 7.4692
0.3689 5.5902 1.5820
2.0537 8.0345 -0.3660
0.8746 4.7617 4.5599
4.5469 3.3823 5.6591
4.5469 1.1231 2.8243
4.2890 6.4493 0.8973
0.6167 -0.5645 6.4869
```

## Properties
Its energy relative to the elements, uncorrected is -0.3481 eV per atom. As for the crystal system: orthorhombic. The space-group type is No. 36. The total energy comes out at -139.0 eV per cell.

## ZrTl2Sb (PBE-GGA)

Data for a geometry-optimized ZrTl2Sb structure.

```
ZrTl2Sb
1.0
3.2840 0.0249 0.0000
-0.8995 3.1585 0.0000
0.0000 0.0000 9.8981
Tl Sb Zr
2 1 1
Cartesian
0.0000 0.0000 4.8155
0.0000 0.0000 0.1336
1.1922 1.5917 7.4236
1.1922 1.5917 2.4745
```

## Properties
Its energy relative to the elements, uncorrected is 0.1834 eV per atom. As for the crystal system: orthorhombic. The space-group type is No. 65. The total energy comes out at -16.7 eV per cell.

## ZrTl2Sb2 (PBE-GGA)

Data for a geometry-optimized ZrTl2Sb2 structure.

```
ZrTl2Sb2
1.0
7.5969 0.0000 0.0000
0.0000 7.5969 0.0000
0.0000 0.0000 5.0548
Zr Sb Tl
2 4 4
Cartesian
0.0000 0.0000 0.0000
3.7984 3.7984 0.0000
1.0672 2.7312 0.0000
6.5297 4.8656 0.0000
4.8656 1.0672 0.0000
2.7312 6.5297 0.0000
6.2455 2.4471 2.5274
5.1498 6.2455 2.5274
1.3514 5.1498 2.5274
2.4471 1.3514 2.5274
```

## Properties
Its energy relative to the elements, uncorrected is 0.0157 eV per atom. As for the crystal system: tetragonal. The space-group type is No. 127. The total energy comes out at -42.9 eV per cell.

## ZrTl2Sb (PBE-GGA)

Data for a geometry-optimized ZrTl2Sb structure.

```
ZrTl2Sb
1.0
5.3031 0.0000 0.0000
2.6516 4.5926 0.0000
2.6516 1.5309 4.3300
Sb Zr Tl
1 1 2
Cartesian
5.3031 3.0618 2.1650
7.9547 4.5926 3.2475
0.0000 0.0000 0.0000
2.6516 1.5309 1.0825
```

## Properties
Its energy relative to the elements, uncorrected is 0.1777 eV per atom. As for the crystal system: cubic. The space-group type is No. 216. The total energy comes out at -16.7 eV per cell.

Look up the energy relative to the elements, uncorrected of the seventh one.
0.1353 eV per atom

Which of these has the highest energy relative to the elements, uncorrected?
number 6

Number 9 is which compound?
Zr6TlSb3